TlZnFe2F8 | Alexandria via LeMat-Bulk | PBE with a Hubbard U | relaxed; space group = No. 147; total magnetization = 9.000 μB per cell; N(E_F) = 9.36 states/eV/f.u.; VASP energy = -55.55 eV for the cell shown
1.0
5.488 0.000 0.000
-2.744 4.752 0.000
0.000 0.000 7.901
Tl Zn Fe F
1 1 2 8
direct
0.000 0.000 0.000 Tl
0.000 0.000 0.500 Zn
0.333 0.667 0.726 Fe
0.667 0.333 0.274 Fe
0.027 0.311 0.656 F
0.284 0.973 0.656 F
0.311 0.284 0.344 F
0.333 0.667 0.963 F
0.667 0.333 0.037 F
0.689 0.716 0.656 F
0.716 0.027 0.344 F
0.973 0.689 0.344 F